First-principles (GGA-PBE) data for an optimized crystal structure of NdThZnPb, as listed in Alexandria.

Geometry as POSCAR:
```
NdThZnPb
1.0
5.4199 0.0000 0.0000
2.7099 4.6937 0.0000
2.7099 1.5646 4.4253
Pb Zn Nd Th
1 1 1 1
Cartesian
5.4199 3.1292 2.2127 Pb
0.0000 0.0000 0.0000 Zn
8.1298 4.6937 3.3190 Nd
2.7099 1.5646 1.1063 Th
```

Values from the calculation:
ΔE_f = -0.24 eV per atom
Fermi-level density of states = 0.86 states/eV/atom

First-principles (GGA-PBE) data for an optimized crystal structure of NdTiPb, as listed in Alexandria.

Geometry as POSCAR:
```
NdTiPb
1.0
4.3757 0.0000 0.0000
0.0000 4.3757 0.0000
0.0000 0.0000 8.3542
Nd Pb Ti
2 2 2
Cartesian
0.0000 2.1879 7.0493 Nd
2.1879 0.0000 1.3048 Nd
0.0000 2.1879 2.1590 Pb
2.1879 0.0000 6.1951 Pb
2.1879 2.1879 4.1771 Ti
0.0000 0.0000 4.1771 Ti
```

Values from the calculation:
ΔE_f = -0.27 eV per atom
Fermi-level density of states = 0.97 states/eV/atom

First-principles (GGA-PBE) data for an optimized crystal structure of NdTiPb2, as listed in Alexandria.

Geometry as POSCAR:
```
NdTiPb2
1.0
4.7455 0.0000 0.0000
2.3728 4.1098 0.0000
2.3728 1.3699 5.5949
Pb Nd Ti
2 1 1
Cartesian
7.1183 4.1098 3.9080 Pb
2.3728 1.3699 1.6868 Pb
0.0000 0.0000 0.0000 Nd
4.7455 2.7398 2.7974 Ti
```

Values from the calculation:
ΔE_f = -0.16 eV per atom
Fermi-level density of states = 0.83 states/eV/atom

First-principles (GGA-PBE) data for an optimized crystal structure of NdTiPb2, as listed in Alexandria.

Geometry as POSCAR:
```
NdTiPb2
1.0
-1.2703 3.6327 -0.4354
-3.6284 -1.1916 0.6437
0.8343 1.0993 6.7380
Pb Nd Ti
2 1 1
Cartesian
0.6521 0.8592 5.2662 Pb
0.1822 0.2401 1.4718 Pb
-2.0322 1.7702 3.4731 Nd
-2.4493 1.2205 0.1041 Ti
```

Values from the calculation:
ΔE_f = -0.12 eV per atom
Fermi-level density of states = 0.98 states/eV/atom

First-principles (GGA-PBE) data for an optimized crystal structure of NdTlPb6, as listed in Alexandria.

Geometry as POSCAR:
```
NdTlPb6
1.0
-4.1023 -2.8045 0.6629
3.2498 -5.4476 -2.9356
2.3604 -1.9688 6.2775
Nd Tl Pb
1 1 6
Cartesian
-2.0512 -1.4023 0.3315 Nd
0.7539 -5.1105 2.0024 Tl
3.0247 -4.5669 -0.6033 Pb
2.5856 -2.8495 3.9452 Pb
4.1908 -5.5400 2.4964 Pb
1.4194 -1.8764 0.8455 Pb
-0.4263 -4.1260 -1.1363 Pb
-0.8710 -2.3867 3.4702 Pb
```

Values from the calculation:
ΔE_f = -0.14 eV per atom
Fermi-level density of states = 0.73 states/eV/atom

First-principles (GGA-PBE) data for an optimized crystal structure of Nd2TlPb2, as listed in Alexandria.

Geometry as POSCAR:
```
Nd2TlPb2
1.0
4.5843 0.0000 0.0000
0.0000 4.6652 0.0000
0.0000 0.0000 15.6166
Nd Tl Pb
4 2 4
Cartesian
0.0000 0.0001 5.4728 Nd
0.0000 4.6651 10.1438 Nd
0.0000 2.3327 2.3355 Nd
0.0000 2.3325 13.2811 Nd
0.0000 2.3326 7.8083 Tl
0.0000 0.0000 0.0000 Tl
2.2922 4.6652 2.6852 Pb
2.2922 0.0000 12.9314 Pb
2.2922 2.3326 5.1231 Pb
2.2922 2.3326 10.4935 Pb
```

Values from the calculation:
ΔE to the lowest computed polymorph = 94 meV/atom
ΔE_f = -0.33 eV per atom
Fermi-level density of states = 0.90 states/eV/atom

Which of these has the lowest Fermi-level density of states?
NdTlPb6